Record 1
## TlCuRu (meta-GGA SCAN)

Data for a crystal of TlCuRu relaxed with PBEsol.

Summary:
DOS at the Fermi energy: 0.635 states/eV per atom
Energy: -120.33 eV per formula unit
E above lowest polymorph: 0.082 eV per atom
ΔE_f: 0.686 eV/atom

Lattice parameters (Å, degrees): 2.937 2.937 6.452 90.00 90.00 120.00
Positions (direct):
Tl 0.000 0.000 0.000
Cu 0.333 0.667 0.652
Ru 0.667 0.333 0.353



Record 2
## NaCeP2O7 (meta-GGA SCAN)

Data for a crystal of NaCeP2O7 relaxed with PBEsol.

Summary:
Energy: -145.22 eV per formula unit
ΔE_f (raw): -2.911 eV/atom

Lattice parameters (Å, degrees): 8.574 5.271 12.688 90.00 90.00 90.00
Positions (direct):
Na 0.118 0.250 0.077
Na 0.382 0.750 0.577
Na 0.618 0.250 0.423
Na 0.882 0.750 0.923
Ce 0.187 0.250 0.764
Ce 0.313 0.750 0.264
Ce 0.687 0.250 0.736
Ce 0.813 0.750 0.236
P 0.011 0.250 0.315
P 0.240 0.750 0.966
P 0.260 0.250 0.466
P 0.489 0.750 0.815
P 0.511 0.250 0.185
P 0.740 0.750 0.534
P 0.760 0.250 0.034
P 0.989 0.750 0.685
O 0.068 0.004 0.263
O 0.068 0.496 0.263
O 0.077 0.250 0.434
O 0.165 0.511 0.920
O 0.165 0.989 0.920
O 0.166 0.750 0.681
O 0.240 0.750 0.085
O 0.260 0.250 0.585
O 0.334 0.250 0.181
O 0.335 0.011 0.420
O 0.335 0.489 0.420
O 0.423 0.750 0.934
O 0.432 0.504 0.763
O 0.432 0.996 0.763
O 0.568 0.004 0.237
O 0.568 0.496 0.237
O 0.577 0.250 0.066
O 0.665 0.511 0.580
O 0.665 0.989 0.580
O 0.666 0.750 0.819
O 0.740 0.750 0.415
O 0.760 0.250 0.915
O 0.834 0.250 0.319
O 0.835 0.011 0.080
O 0.835 0.489 0.080
O 0.923 0.750 0.566
O 0.932 0.504 0.737
O 0.932 0.996 0.737



Record 3
## CdBiTe2 (meta-GGA SCAN)

Data for a crystal of CdBiTe2 relaxed with PBEsol.

Summary:
DOS at the Fermi energy: 0.560 states/eV per atom
Energy: -183.58 eV per formula unit
ΔE_f (raw): -0.020 eV/atom

Lattice parameters (Å, degrees): 6.259 6.259 15.696 90.00 90.00 90.00
Positions (direct):
Cd 0.000 0.000 0.000
Cd 0.000 0.500 0.250
Cd 0.500 0.000 0.750
Cd 0.500 0.500 0.500
Bi 0.000 0.000 0.500
Bi 0.000 0.500 0.750
Bi 0.500 0.000 0.250
Bi 0.500 0.500 0.000
Te 0.225 0.250 0.125
Te 0.250 0.725 0.375
Te 0.250 0.775 0.875
Te 0.275 0.250 0.625
Te 0.725 0.750 0.625
Te 0.750 0.225 0.875
Te 0.750 0.275 0.375
Te 0.775 0.750 0.125



Record 4
## ZrCrAs3 (meta-GGA SCAN)

Data for a crystal of ZrCrAs3 relaxed with PBEsol.

Summary:
DOS at the Fermi energy: 0.787 states/eV per atom
Energy: -108.63 eV per formula unit
ΔE_f: 0.204 eV/atom

Lattice parameters (Å, degrees): 4.604 4.604 4.604 90.00 90.00 90.00
Positions (direct):
Zr 0.000 0.000 0.000
Cr 0.500 0.500 0.500
As 0.000 0.500 0.500
As 0.500 0.000 0.500
As 0.500 0.500 0.000



Record 5
## CdAg2Rh (meta-GGA SCAN)

Data for a crystal of CdAg2Rh relaxed with PBEsol.

Summary:
DOS at the Fermi energy: 0.280 states/eV per atom
Energy: -126.71 eV per formula unit
ΔE_f: 0.052 eV/atom

Lattice parameters (Å, degrees): 3.255 3.255 6.151 90.00 90.00 90.00
Positions (direct):
Cd 0.000 0.000 0.000
Ag 0.000 0.000 0.482
Ag 0.500 0.500 0.731
Rh 0.500 0.500 0.238



Record 6
## SrTl2Cr (meta-GGA SCAN)

Data for a crystal of SrTl2Cr relaxed with PBEsol.

Summary:
DOS at the Fermi energy: 0.479 states/eV per atom
Energy: -185.46 eV per formula unit
ΔE_f: -0.022 eV/atom

Lattice parameters (Å, degrees): 3.822 4.189 13.762 90.00 90.00 90.00
Positions (direct):
Sr 0.000 0.000 0.000
Sr 0.500 0.500 0.500
Tl 0.000 0.000 0.627
Tl 0.000 0.500 0.798
Tl 0.500 0.000 0.298
Tl 0.500 0.500 0.127
Cr 0.000 0.500 0.285
Cr 0.500 0.000 0.785



| no. | magnetization (μB per cell) |
| --- | --- |
| 1 | 1.023 |
| 2 | 4.000 |
| 3 | 0.000 |
| 4 | 2.551 |
| 5 | 0.000 |
| 6 | 8.476 |